Below is a relaxed Dy3Mg3IrPdPt crystal, with properties calculated at the PBE level.

The calculation puts the total magnetization at 0.00 μB/atom. The value obtained for the total DFT energy (no corrections) is -5.078 eV/atom.

The space group is P-6 (No. 174) and the conventional cell measures 7.4063, 7.4063 and 4.0081 Å, with angles of 90.00, 90.00 and 120.00 degrees. The inequivalent atoms are Dy at (0.0093, 0.5898, 0.0000), Mg at (0.9997, 0.2472, 0.5000), Ir at (0.3333, 0.6667, 0.5000), Pd at (0.0000, 0.0000, 0.0000) and Pt at (0.6667, 0.3333, 0.5000).

***

Below is a relaxed Dy2TmMg3Ir2Pd crystal, with properties calculated at the PBE level.

The calculation puts the total magnetization at 0.00 μB/atom. The value obtained for the total DFT energy (no corrections) is -5.286 eV/atom.

The space group is Amm2 (No. 38) and the conventional cell measures 4.0017, 12.6752 and 7.3418 Å, with angles of 90.00, 90.00 and 90.00 degrees. The inequivalent atoms are Dy at (0.0000, 0.2082, 0.0000), Tm at (0.0000, 0.0000, 0.6225), Mg at (0.5000, 0.0000, 0.9581), Mg at (0.5000, 0.1244, 0.3331), Ir at (0.5000, 0.1650, 0.7073) and Pd at (0.0000, 0.0000, 0.2101).

***

Below is a relaxed Dy2YMg3Ir2Pd crystal, with properties calculated at the PBE level.

The calculation puts the total magnetization at 0.00 μB/atom. The value obtained for the total DFT energy (no corrections) is -5.499 eV/atom.

The space group is Amm2 (No. 38) and the conventional cell measures 4.0044, 12.7822 and 7.3519 Å, with angles of 90.00, 90.00 and 90.00 degrees. The inequivalent atoms are Dy at (0.0000, 0.2081, 0.0000), Y at (0.0000, 0.0000, 0.6241), Mg at (0.5000, 0.0000, 0.9588), Mg at (0.5000, 0.1240, 0.3324), Ir at (0.5000, 0.1679, 0.7087) and Pd at (0.0000, 0.0000, 0.2065).

***

Below is a relaxed DyY2Mg3Ir2Pd crystal, with properties calculated at the PBE level.

The calculation puts the total magnetization at 0.00 μB/atom. The value obtained for the total DFT energy (no corrections) is -5.702 eV/atom.

The space group is Amm2 (No. 38) and the conventional cell measures 4.0088, 12.7390 and 7.3827 Å, with angles of 90.00, 90.00 and 90.00 degrees. The inequivalent atoms are Dy at (0.0000, 0.0000, 0.0000), Y at (0.0000, 0.2080, 0.6242), Mg at (0.5000, 0.0000, 0.6641), Mg at (0.5000, 0.1245, 0.2918), Ir at (0.5000, 0.1654, 0.9168) and Pd at (0.0000, 0.0000, 0.4146).

***

Below is a relaxed Dy3MgZn2Ir2Pd crystal, with properties calculated at the PBE level.

The calculation puts the total magnetization at 0.00 μB/atom. The value obtained for the total DFT energy (no corrections) is -5.260 eV/atom.

The space group is Amm2 (No. 38) and the conventional cell measures 3.9072, 12.6168 and 7.2371 Å, with angles of 90.00, 90.00 and 90.00 degrees. The inequivalent atoms are Dy at (0.0000, 0.0000, 0.0000), Dy at (0.0000, 0.2118, 0.3958), Mg at (0.5000, 0.0000, 0.3557), Zn at (0.5000, 0.1291, 0.7218), Ir at (0.5000, 0.1653, 0.1010) and Pd at (0.0000, 0.0000, 0.6065).

***

Below is a relaxed Pr2DyMg3Ir3 crystal, with properties calculated at the PBE level.

The calculation puts the total magnetization at 0.00 μB/atom. The value obtained for the total DFT energy (no corrections) is -5.652 eV/atom.

The space group is Amm2 (No. 38) and the conventional cell measures 4.1317, 12.7800 and 7.3956 Å, with angles of 90.00, 90.00 and 90.00 degrees. The inequivalent atoms are Pr at (0.0000, 0.2063, 0.0000), Dy at (0.0000, 0.0000, 0.3864), Mg at (0.5000, 0.0000, 0.0366), Mg at (0.5000, 0.1195, 0.6703), Ir at (0.0000, 0.0000, 0.7868) and Ir at (0.5000, 0.1608, 0.2953).

***

Below is a relaxed PrDy2Mg3Ir2Pt crystal, with properties calculated at the PBE level.

The calculation puts the total magnetization at 0.00 μB/atom. The value obtained for the total DFT energy (no corrections) is -5.463 eV/atom.

The space group is Amm2 (No. 38) and the conventional cell measures 4.0651, 12.8159 and 7.3752 Å, with angles of 90.00, 90.00 and 90.00 degrees. The inequivalent atoms are Pr at (0.0000, 0.0000, 0.0000), Dy at (0.0000, 0.2060, 0.3778), Mg at (0.5000, 0.0000, 0.3400), Mg at (0.5000, 0.1247, 0.7046), Ir at (0.5000, 0.1714, 0.0856) and Pt at (0.0000, 0.0000, 0.5767).

***

Below is a relaxed Dy3Mg3Ir2Pt crystal, with properties calculated at the PBE level.

The calculation puts the total magnetization at 0.00 μB/atom. The value obtained for the total DFT energy (no corrections) is -5.479 eV/atom.

The space group is P-62m (No. 189) and the conventional cell measures 7.3192, 7.3192 and 4.0346 Å, with angles of 90.00, 90.00 and 120.00 degrees. The inequivalent atoms are Dy at (0.0000, 0.5878, 0.0000), Mg at (0.0000, 0.2484, 0.5000), Ir at (0.3333, 0.6667, 0.5000) and Pt at (0.0000, 0.0000, 0.0000).